# RbGeI2O

Crystalline RbGeI2O at its relaxed geometry (GGA-PBEsol, Alexandria).

Lattice parameters (Å, degrees): 4.2192 6.3193 6.3193 90.00 90.00 90.00
With the nearest neighbours (Å) after each atom.
Atoms (fractional coordinates):
I1 0.0000 0.0000 0.5000  2 Rb 3.16
I2 0.0000 0.5000 0.0000  2 Rb 3.16
Ge1 0.5000 0.5000 0.5000  8 I 3.80, 2 Ge 4.22
O1 0.5000 0.0000 0.0000  2 Rb 2.11
Rb1 0.0000 0.0000 0.0000  2 O 2.11

Formation energy (no corrections): 503 meV per atom

***

# NaV2O4

Crystalline NaV2O4 at its relaxed geometry (GGA-PBEsol, Alexandria).

Lattice parameters (Å, degrees): 4.9590 5.7072 6.5407 115.87 102.89 90.00
With the nearest neighbours (Å) after each atom.
Atoms (fractional coordinates):
Na1 0.2578 0.6955 0.0008  4 O 2.30-2.40
Na2 0.7578 0.3052 0.0008  4 O 2.30-2.40
V1 0.2437 0.1069 0.5040  6 O 1.94-1.99
V2 0.2529 0.6160 0.4965  6 O 1.93-1.98
V3 0.7529 0.8804 0.4965  6 O 1.93-1.98
V4 0.7437 0.3971 0.5040  6 O 1.94-1.99
O1 0.9640 0.2276 0.6863  3 V 1.96-1.99
O2 0.5242 0.5380 0.3037  3 V 1.96-1.98
O3 0.0242 0.7656 0.3037  3 V 1.96-1.98
O4 0.4640 0.4587 0.6863  3 V 1.96-1.99
O5 0.5302 0.0461 0.3258  3 V 1.93-1.98
O6 0.9773 0.7285 0.6848  3 V 1.94-1.96
O7 0.4773 0.9563 0.6848  3 V 1.94-1.96
O8 0.0302 0.2797 0.3258  3 V 1.93-1.98

Formation energy (no corrections): -2264 meV per atom

***

# KLiW4

Crystalline KLiW4 at its relaxed geometry (GGA-PBEsol, Alexandria).

Lattice parameters (Å, degrees): 5.4280 5.4280 5.4280 60.00 60.00 60.00
With the nearest neighbours (Å) after each atom.
Atoms (fractional coordinates):
K1 0.7500 0.7500 0.7500  12 W 3.18, 4 Li 3.32
Li1 0.0000 0.0000 0.0000  12 W 3.18, 4 K 3.32
W1 0.3758 0.3758 0.3758  6 W 2.70-2.73
W2 0.3758 0.3758 0.8725  6 W 2.70-2.73
W3 0.8725 0.3758 0.3758  6 W 2.70-2.73
W4 0.3758 0.8725 0.3758  6 W 2.70-2.73

Formation energy from the elements: 1326 meV per atom

***

# KAsPb

Crystalline KAsPb at its relaxed geometry (GGA-PBEsol, Alexandria).

Lattice parameters (Å, degrees): 5.1761 5.1761 5.1761 60.00 60.00 60.00
With the nearest neighbours (Å) after each atom.
Atoms (fractional coordinates):
As1 0.2500 0.2500 0.2500  4 K 3.17, 4 Pb 3.17
K1 0.0000 0.0000 0.0000  4 As 3.17
Pb1 0.5000 0.5000 0.5000  4 As 3.17

Formation energy from the elements: -109 meV per atom

***

| no. | ρ (g/cm3) |
| --- | --- |
| 1 | 4.2 |
| 2 | 3.9 |
| 3 | 11.5 |
| 4 | 5.4 |